Computed, not measured: a relaxed TlVAgO4 crystal at the GGA+U level of DFT.

Cell lengths 6.2143, 6.2143, 5.4733 Å; angles 124.59, 124.59, 90.00 degrees
Closest atoms and distances in Å follow each position.
Element x y z (fractional)
1 O 0.2648 0.0898 0.8072  1 V 1.76
2 O 0.5424 0.7174 0.8072  1 V 1.76
3 O 0.9102 0.4576 0.1928  1 V 1.76
4 O 0.2826 0.7352 0.1928  1 V 1.76
5 Tl 0.0000 0.0000 0.0000  4 O 2.60
6 V 0.2500 0.7500 0.5000  4 O 1.76
7 Ag 0.5000 0.5000 0.0000  4 O 2.22

Computed properties:
**DOS at the Fermi energy**: 0.439 states/eV per atom
**V**: 18.0 Å³ per atom
**Symmetry**: I-4
**E**: -5.719 eV per atom